Record 1
# SrYSc2 (PBE, optimized geometry)
# * formation enthalpy at 0 K: 0.30 eV per atom
# * energy relative to the lowest polymorph listed for this composition: 0.605 eV per formula unit
# * spin magnetization: 0.035 μB per atom
# * uncorrected energy: -4.90 eV per atom
data_SrYSc2
_chemical_formula_sum 'Sr2 Y2 Sc4'
_symmetry_space_group_name_H-M 'I -4 m 2'
_symmetry_Int_Tables_number 119
_symmetry_space_group_name_Hall 'I -4 -2'
_cell_length_a 5.0176
_cell_length_b 5.0176
_cell_length_c 9.9678
_cell_angle_alpha 90.00
_cell_angle_beta 90.00
_cell_angle_gamma 90.00
loop_
_atom_site_label
_atom_site_type_symbol
_atom_site_fract_x
_atom_site_fract_y
_atom_site_fract_z
_atom_site_occupancy
Sr1 Sr 0.0000 0.0000 0.0000 1
Y1 Y 0.0000 0.5000 0.7500 1
Sc1 Sc 0.0000 0.0000 0.5000 1
Sc2 Sc 0.0000 0.5000 0.2500 1

Record 2
# Tb3Sm8Ho4 (PBE, optimized geometry)
# * formation enthalpy at 0 K: 0.16 eV per atom
# * energy relative to the lowest polymorph listed for this composition: 0.000 eV per formula unit
# * spin magnetization: 0.000 μB per atom
# * uncorrected energy: -4.51 eV per atom
data_Tb3Sm8Ho4
_chemical_formula_sum 'Tb9 Sm24 Ho12'
_symmetry_space_group_name_H-M 'R -3 m'
_symmetry_Int_Tables_number 166
_symmetry_space_group_name_Hall '-R 3 2"'
_cell_length_a 6.9803
_cell_length_b 6.9803
_cell_length_c 35.5707
_cell_angle_alpha 90.00
_cell_angle_beta 90.00
_cell_angle_gamma 120.00
loop_
_atom_site_label
_atom_site_type_symbol
_atom_site_fract_x
_atom_site_fract_y
_atom_site_fract_z
_atom_site_occupancy
Tb1 Tb 0.0000 0.5000 0.0000 1
Sm1 Sm 0.0000 0.0000 0.2542 1
Sm2 Sm 0.0015 0.5007 0.2501 1
Ho1 Ho 0.0000 0.0000 0.0000 1
Ho2 Ho 0.0000 0.0000 0.1642 1
Ho3 Ho 0.0000 0.0000 0.5000 1

Record 3
# LaHBr2O (PBE, optimized geometry)
# * spin magnetization: 0.000 μB per atom
# * uncorrected energy: -5.33 eV per atom
data_LaHBr2O
_chemical_formula_sum 'La2 H2 Br4 O2'
_symmetry_space_group_name_H-M 'P 1 21/m 1'
_symmetry_Int_Tables_number 11
_symmetry_space_group_name_Hall '-P 2yb'
_cell_length_a 6.7437
_cell_length_b 4.0406
_cell_length_c 9.2090
_cell_angle_alpha 90.00
_cell_angle_beta 110.40
_cell_angle_gamma 90.00
loop_
_atom_site_label
_atom_site_type_symbol
_atom_site_fract_x
_atom_site_fract_y
_atom_site_fract_z
_atom_site_occupancy
La1 La 0.0123 0.2500 0.2492 1
H1 H 0.3521 0.7500 0.3116 1
Br1 Br 0.2482 0.2500 0.6182 1
Br2 Br 0.2488 0.2500 0.0117 1
O1 O 0.2015 0.7500 0.2993 1